Below is crystalline BaLa2MnO5 at its relaxed geometry, with properties calculated at the PBE+U level.

abc: 5.862 6.941 6.941
angles: 90.00 90.00 90.00
Each line ends with the local moment (μB).
Fractional coordinates of all 18 atoms:
1 Ba 0.000 0.500 0.500  -0.02
2 Ba 0.000 0.000 0.000  -0.02
3 La 0.500 0.676 0.176  -0.01
4 La 0.500 0.176 0.324  -0.01
5 La 0.500 0.824 0.676  -0.01
6 La 0.500 0.324 0.824  -0.01
7 Mn 0.000 0.000 0.500  3.06
8 Mn 0.000 0.500 0.000  3.06
9 O 0.500 0.500 0.500  0.01
10 O 0.500 0.000 0.000  0.01
11 O 0.240 0.136 0.636  -0.01
12 O 0.240 0.864 0.364  -0.01
13 O 0.240 0.364 0.136  -0.01
14 O 0.240 0.636 0.864  -0.01
15 O 0.760 0.136 0.636  -0.01
16 O 0.760 0.636 0.864  -0.01
17 O 0.760 0.864 0.364  -0.01
18 O 0.760 0.364 0.136  -0.01

Results
For the electronic total energy, the calculation gives -7.64 eV per atom.